i:
{
  "formula": "Ga2ReNi",
  "functional": "GGA-PBE",
  "state": "relaxed",
  "dos_at_fermi_per_ev_cell": 2.4,
  "lattice_angstrom": [[4.1226, 0.0000, 0.0000], [0.0000, 4.1226, 0.0000], [0.0000, 0.0000, 3.2095]],
  "species": ["Ga", "Ga", "Re", "Ni"],
  "fractional_positions": [[0.0000, 0.5000, 0.0000], [0.5000, 0.0000, 0.0000], [0.0000, 0.0000, 0.5000], [0.5000, 0.5000, 0.5000]]
}



ii:
{
  "formula": "Ga2ReNi",
  "functional": "GGA-PBE",
  "state": "relaxed",
  "dos_at_fermi_per_ev_cell": 1.8,
  "lattice_angstrom": [[0.0000, 3.0150, 3.0150], [3.0150, 0.0000, 3.0150], [3.0150, 3.0150, 0.0000]],
  "species": ["Ga", "Ga", "Re", "Ni"],
  "fractional_positions": [[0.2500, 0.2500, 0.2500], [0.7500, 0.7500, 0.7500], [0.0000, 0.0000, 0.0000], [0.5000, 0.5000, 0.5000]]
}



Energies relative to the most stable structure are i 0.0; ii 9.3, reported in kJ/mol of atoms.



i:
{
  "formula": "Ga2Ni2Rh",
  "functional": "GGA-PBE",
  "state": "relaxed",
  "dos_at_fermi_per_ev_cell": 2.3,
  "lattice_angstrom": [[-1.7097, 1.7097, 5.8648], [1.7097, -1.7097, 5.8648], [1.7097, 1.7097, -5.8648]],
  "species": ["Ga", "Ga", "Ni", "Ni", "Rh"],
  "fractional_positions": [[0.1067, 0.1067, 0.0000], [0.8933, 0.8933, 0.0000], [0.2500, 0.7500, 0.5000], [0.7500, 0.2500, 0.5000], [0.5000, 0.5000, 0.0000]]
}



ii:
{
  "formula": "Ga2Ni2Rh",
  "functional": "GGA-PBE",
  "state": "relaxed",
  "dos_at_fermi_per_ev_cell": 7.6,
  "lattice_angstrom": [[6.8171, 0.0000, 0.0000], [0.0000, 6.8171, 0.0000], [0.0000, 0.0000, 2.8121]],
  "species": ["Ga", "Ga", "Ga", "Ga", "Ni", "Ni", "Ni", "Ni", "Rh", "Rh"],
  "fractional_positions": [[0.1512, 0.3488, 0.0000], [0.3488, 0.8488, 0.0000], [0.6512, 0.1512, 0.0000], [0.8488, 0.6512, 0.0000], [0.1459, 0.6459, 0.5000], [0.3541, 0.1459, 0.5000], [0.6459, 0.8541, 0.5000], [0.8541, 0.3541, 0.5000], [0.0000, 0.0000, 0.0000], [0.5000, 0.5000, 0.0000]]
}



Energies relative to the most stable structure are i 9.7; ii 0.0, reported in kJ/mol of atoms.



i:
{
  "formula": "GaSiNiRh2",
  "functional": "GGA-PBE",
  "state": "relaxed",
  "dos_at_fermi_per_ev_cell": 5.4,
  "lattice_angstrom": [[4.5391, 0.0000, 0.0000], [0.0000, 4.5391, 0.0000], [0.0000, 0.0000, 4.2446]],
  "species": ["Ga", "Si", "Ni", "Rh", "Rh"],
  "fractional_positions": [[0.0000, 0.0000, 0.0000], [0.5000, 0.5000, 0.0000], [0.0000, 0.0000, 0.5000], [0.0000, 0.5000, 0.5000], [0.5000, 0.0000, 0.5000]]
}



ii:
{
  "formula": "GaSiNiRh2",
  "functional": "GGA-PBE",
  "state": "relaxed",
  "dos_at_fermi_per_ev_cell": 4.1,
  "lattice_angstrom": [[4.3942, 0.0000, 0.0000], [0.0000, 4.3942, 0.0000], [0.0000, 0.0000, 4.1816]],
  "species": ["Ga", "Si", "Ni", "Rh", "Rh"],
  "fractional_positions": [[0.0000, 0.0000, 0.0000], [0.5000, 0.5000, 0.5000], [0.5000, 0.5000, 0.0000], [0.0000, 0.5000, 0.5000], [0.5000, 0.0000, 0.5000]]
}



Energies relative to the most stable structure are i 65.8; ii 0.0, reported in kJ/mol of atoms.



i:
{
  "formula": "SmGaNiRh",
  "functional": "GGA-PBE",
  "state": "relaxed",
  "dos_at_fermi_per_ev_cell": 2.2,
  "lattice_angstrom": [[4.3945, 0.0000, 0.0000], [0.0000, 1.6590, 4.8486], [0.0000, -1.6590, 4.8486]],
  "species": ["Sm", "Ga", "Ni", "Rh"],
  "fractional_positions": [[0.0000, 0.0000, 0.0000], [0.5000, 0.3549, 0.3549], [0.0000, 0.2614, 0.2614], [0.5000, 0.6481, 0.6481]]
}



ii:
{
  "formula": "SmGaNiRh",
  "functional": "GGA-PBE",
  "state": "relaxed",
  "dos_at_fermi_per_ev_cell": 3.4,
  "lattice_angstrom": [[0.0000, 3.2484, 3.2484], [3.2484, 0.0000, 3.2484], [3.2484, 3.2484, 0.0000]],
  "species": ["Sm", "Ga", "Ni", "Rh"],
  "fractional_positions": [[0.0000, 0.0000, 0.0000], [0.5000, 0.5000, 0.5000], [0.2500, 0.2500, 0.2500], [0.7500, 0.7500, 0.7500]]
}



Energies relative to the most stable structure are i 8.3; ii 0.0, reported in kJ/mol of atoms.



i:
{
  "formula": "TaGaNiRh",
  "functional": "GGA-PBE",
  "state": "relaxed",
  "dos_at_fermi_per_ev_cell": 2.6,
  "lattice_angstrom": [[-2.0043, 2.0043, 3.5806], [2.0043, -2.0043, 3.5806], [2.0043, 2.0043, -3.5806]],
  "species": ["Ta", "Ga", "Ni", "Rh"],
  "fractional_positions": [[0.0000, 0.0000, 0.0000], [0.5000, 0.5000, 0.0000], [0.2500, 0.7500, 0.5000], [0.7500, 0.2500, 0.5000]]
}



ii:
{
  "formula": "TaGaNiRh",
  "functional": "GGA-PBE",
  "state": "relaxed",
  "dos_at_fermi_per_ev_cell": 3.9,
  "lattice_angstrom": [[0.0000, 3.0706, 3.0706], [3.0706, 0.0000, 3.0706], [3.0706, 3.0706, 0.0000]],
  "species": ["Ta", "Ga", "Ni", "Rh"],
  "fractional_positions": [[0.0000, 0.0000, 0.0000], [0.5000, 0.5000, 0.5000], [0.2500, 0.2500, 0.2500], [0.7500, 0.7500, 0.7500]]
}



Energies relative to the most stable structure are i 0.0; ii 2.4, reported in kJ/mol of atoms.



i:
{
  "formula": "ZnGaNiRh",
  "functional": "GGA-PBE",
  "state": "relaxed",
  "dos_at_fermi_per_ev_cell": 3.4,
  "lattice_angstrom": [[0.0000, 2.9765, 2.9765], [2.9765, 0.0000, 2.9765], [2.9765, 2.9765, 0.0000]],
  "species": ["Zn", "Ga", "Ni", "Rh"],
  "fractional_positions": [[0.0000, 0.0000, 0.0000], [0.5000, 0.5000, 0.5000], [0.2500, 0.2500, 0.2500], [0.7500, 0.7500, 0.7500]]
}



ii:
{
  "formula": "ZnGaNiRh",
  "functional": "GGA-PBE",
  "state": "relaxed",
  "dos_at_fermi_per_ev_cell": 0.4,
  "lattice_angstrom": [[3.2644, 0.0000, 0.0000], [0.0000, 3.9967, 0.0000], [0.0000, 0.0000, 4.0450]],
  "species": ["Zn", "Ga", "Ni", "Rh"],
  "fractional_positions": [[0.0000, 0.0000, 0.0000], [0.0000, 0.5000, 0.5000], [0.5000, 0.5000, 0.0000], [0.5000, 0.0000, 0.5000]]
}



Energies relative to the most stable structure are i 2.3; ii 0.0, reported in kJ/mol of atoms.



i:
{
  "formula": "ZrGaNiRh",
  "functional": "GGA-PBE",
  "state": "relaxed",
  "dos_at_fermi_per_ev_cell": 1.3,
  "lattice_angstrom": [[-2.0346, 2.0346, 3.6874], [2.0346, -2.0346, 3.6874], [2.0346, 2.0346, -3.6874]],
  "species": ["Zr", "Ga", "Ni", "Rh"],
  "fractional_positions": [[0.0000, 0.0000, 0.0000], [0.5000, 0.5000, 0.0000], [0.7500, 0.2500, 0.5000], [0.2500, 0.7500, 0.5000]]
}



ii:
{
  "formula": "ZrGaNiRh",
  "functional": "GGA-PBE",
  "state": "relaxed",
  "dos_at_fermi_per_ev_cell": 3.6,
  "lattice_angstrom": [[0.0000, 3.1320, 3.1320], [3.1320, 0.0000, 3.1320], [3.1320, 3.1320, 0.0000]],
  "species": ["Zr", "Ga", "Ni", "Rh"],
  "fractional_positions": [[0.0000, 0.0000, 0.0000], [0.5000, 0.5000, 0.5000], [0.2500, 0.2500, 0.2500], [0.7500, 0.7500, 0.7500]]
}



Energies relative to the most stable structure are i 0.0; ii 0.7, reported in kJ/mol of atoms.



i:
{
  "formula": "Ga2Ni2Ru",
  "functional": "GGA-PBE",
  "state": "relaxed",
  "dos_at_fermi_per_ev_cell": 8.3,
  "lattice_angstrom": [[6.9116, 0.0000, 0.0000], [0.0000, 6.9116, 0.0000], [0.0000, 0.0000, 2.6515]],
  "species": ["Ga", "Ga", "Ga", "Ga", "Ni", "Ni", "Ni", "Ni", "Ru", "Ru"],
  "fractional_positions": [[0.1475, 0.3524, 0.0000], [0.3524, 0.8524, 0.0000], [0.6476, 0.1475, 0.0000], [0.8524, 0.6476, 0.0000], [0.1498, 0.6498, 0.5000], [0.3502, 0.1498, 0.5000], [0.6498, 0.8502, 0.5000], [0.8502, 0.3502, 0.5000], [0.0000, 0.0000, 0.0000], [0.5000, 0.5000, 0.0000]]
}



ii:
{
  "formula": "Ga2Ni2Ru",
  "functional": "GGA-PBE",
  "state": "relaxed",
  "dos_at_fermi_per_ev_cell": 2.7,
  "lattice_angstrom": [[-1.6966, 1.6966, 5.8846], [1.6966, -1.6966, 5.8846], [1.6966, 1.6966, -5.8846]],
  "species": ["Ga", "Ga", "Ni", "Ni", "Ru"],
  "fractional_positions": [[0.1062, 0.1062, 0.0000], [0.8938, 0.8938, 0.0000], [0.2500, 0.7500, 0.5000], [0.7500, 0.2500, 0.5000], [0.5000, 0.5000, 0.0000]]
}



iii:
{
  "formula": "Ga2Ni2Ru",
  "functional": "GGA-PBE",
  "state": "relaxed",
  "dos_at_fermi_per_ev_cell": 5.4,
  "lattice_angstrom": [[1.4759, -7.7392, 0.0000], [1.4759, 7.7392, 0.0000], [0.0000, 0.0000, 2.9234]],
  "species": ["Ga", "Ga", "Ni", "Ni", "Ru"],
  "fractional_positions": [[0.1025, 0.8975, 0.0000], [0.8975, 0.1025, 0.0000], [0.3128, 0.6872, 0.5000], [0.6872, 0.3128, 0.5000], [0.5000, 0.5000, 0.5000]]
}



Energies relative to the most stable structure are i 0.0; ii 10.4; iii 3.5, reported in kJ/mol of atoms.